# 1
# Li3NbO4 | Alexandria | meta-GGA SCAN | single point on PBEsol structure
# formation energy from raw total energies: -2514 meV per atom
# crystal system: tetragonal
# E above lowest polymorph: 0.061 eV/atom
# E_tot: -10.6673 eV/atom
data_Li3NbO4
_chemical_formula_sum 'Li6 Nb2 O8'
_symmetry_space_group_name_H-M 'P 1'
_symmetry_Int_Tables_number 1
_cell_length_a 4.122
_cell_length_b 4.122
_cell_length_c 8.395
_cell_angle_alpha 90.00
_cell_angle_beta 90.00
_cell_angle_gamma 90.00
loop_
_symmetry_equiv_pos_as_xyz
'x,y,z'
loop_
_atom_site_label
_atom_site_fract_x
_atom_site_fract_y
_atom_site_fract_z
_atom_site_occupancy
Li1 0.000 0.000 0.000 1
Li2 0.000 0.500 0.250 1
Li3 0.000 0.500 0.750 1
Li4 0.500 0.000 0.250 1
Li5 0.500 0.000 0.750 1
Li6 0.500 0.500 0.500 1
Nb1 0.000 0.000 0.500 1
Nb2 0.500 0.500 0.000 1
O1 0.000 0.000 0.270 1
O2 0.000 0.000 0.730 1
O3 0.000 0.500 0.000 1
O4 0.000 0.500 0.500 1
O5 0.500 0.000 0.000 1
O6 0.500 0.000 0.500 1
O7 0.500 0.500 0.230 1
O8 0.500 0.500 0.770 1

***

# 2
# Li3NbO4 | Alexandria | meta-GGA SCAN | single point on PBEsol structure
# formation energy from raw total energies: -2576 meV per atom
# crystal system: cubic
# E above lowest polymorph: 0.000 eV/atom
# E_tot: -10.7287 eV/atom
data_Li3NbO4
_chemical_formula_sum 'Li12 Nb4 O16'
_symmetry_space_group_name_H-M 'P 1'
_symmetry_Int_Tables_number 1
_cell_length_a 7.278
_cell_length_b 7.278
_cell_length_c 7.278
_cell_angle_alpha 109.47
_cell_angle_beta 109.47
_cell_angle_gamma 109.47
loop_
_symmetry_equiv_pos_as_xyz
'x,y,z'
loop_
_atom_site_label
_atom_site_fract_x
_atom_site_fract_y
_atom_site_fract_z
_atom_site_occupancy
Li1 0.000 0.272 0.514 1
Li2 0.000 0.514 0.272 1
Li3 0.242 0.728 0.728 1
Li4 0.272 0.000 0.514 1
Li5 0.272 0.514 0.000 1
Li6 0.486 0.486 0.758 1
Li7 0.486 0.758 0.486 1
Li8 0.514 0.000 0.272 1
Li9 0.514 0.272 0.000 1
Li10 0.728 0.242 0.728 1
Li11 0.728 0.728 0.242 1
Li12 0.758 0.486 0.486 1
Nb1 0.000 0.000 0.719 1
Nb2 0.000 0.719 0.000 1
Nb3 0.281 0.281 0.281 1
Nb4 0.719 0.000 0.000 1
O1 0.000 0.000 0.229 1
O2 0.000 0.229 0.000 1
O3 0.000 0.512 0.758 1
O4 0.000 0.758 0.512 1
O5 0.229 0.000 0.000 1
O6 0.242 0.242 0.754 1
O7 0.242 0.754 0.242 1
O8 0.246 0.488 0.488 1
O9 0.488 0.246 0.488 1
O10 0.488 0.488 0.246 1
O11 0.512 0.000 0.758 1
O12 0.512 0.758 0.000 1
O13 0.754 0.242 0.242 1
O14 0.758 0.000 0.512 1
O15 0.758 0.512 0.000 1
O16 0.771 0.771 0.771 1

***

# 3
# LiNbO3 | Alexandria | meta-GGA SCAN | single point on PBEsol structure
# formation energy from raw total energies: -2627 meV per atom
# crystal system: monoclinic
# E_tot: -13.4692 eV/atom
data_LiNbO3
_chemical_formula_sum 'Li2 Nb2 O6'
_symmetry_space_group_name_H-M 'P 1'
_symmetry_Int_Tables_number 1
_cell_length_a 5.474
_cell_length_b 5.474
_cell_length_c 5.045
_cell_angle_alpha 95.56
_cell_angle_beta 95.56
_cell_angle_gamma 125.04
loop_
_symmetry_equiv_pos_as_xyz
'x,y,z'
loop_
_atom_site_label
_atom_site_fract_x
_atom_site_fract_y
_atom_site_fract_z
_atom_site_occupancy
Li1 0.162 0.838 0.000 1
Li2 0.838 0.162 0.000 1
Nb1 0.344 0.656 0.500 1
Nb2 0.656 0.344 0.500 1
O1 0.049 0.464 0.740 1
O2 0.297 0.297 0.294 1
O3 0.464 0.049 0.740 1
O4 0.536 0.951 0.260 1
O5 0.703 0.703 0.706 1
O6 0.951 0.536 0.260 1

***

# 4
# LiNbO3 | Alexandria | meta-GGA SCAN | single point on PBEsol structure
# formation energy from raw total energies: -2661 meV per atom
# crystal system: trigonal
# E_tot: -13.5036 eV/atom
data_LiNbO3
_chemical_formula_sum 'Li2 Nb2 O6'
_symmetry_space_group_name_H-M 'P 1'
_symmetry_Int_Tables_number 1
_cell_length_a 5.610
_cell_length_b 5.610
_cell_length_c 5.610
_cell_angle_alpha 55.46
_cell_angle_beta 55.46
_cell_angle_gamma 55.46
loop_
_symmetry_equiv_pos_as_xyz
'x,y,z'
loop_
_atom_site_label
_atom_site_fract_x
_atom_site_fract_y
_atom_site_fract_z
_atom_site_occupancy
Li1 0.144 0.144 0.144 1
Li2 0.856 0.856 0.856 1
Nb1 0.356 0.356 0.356 1
Nb2 0.644 0.644 0.644 1
O1 0.060 0.457 0.719 1
O2 0.281 0.940 0.543 1
O3 0.457 0.719 0.060 1
O4 0.543 0.281 0.940 1
O5 0.719 0.060 0.457 1
O6 0.940 0.543 0.281 1

***

# 5
# LiNbO3 | Alexandria | meta-GGA SCAN | single point on PBEsol structure
# formation energy from raw total energies: -2696 meV per atom
# crystal system: trigonal
# E_tot: -13.5391 eV/atom
data_LiNbO3
_chemical_formula_sum 'Li2 Nb2 O6'
_symmetry_space_group_name_H-M 'P 1'
_symmetry_Int_Tables_number 1
_cell_length_a 5.517
_cell_length_b 5.517
_cell_length_c 5.517
_cell_angle_alpha 55.69
_cell_angle_beta 55.69
_cell_angle_gamma 55.69
loop_
_symmetry_equiv_pos_as_xyz
'x,y,z'
loop_
_atom_site_label
_atom_site_fract_x
_atom_site_fract_y
_atom_site_fract_z
_atom_site_occupancy
Li1 0.000 0.000 0.000 1
Li2 0.500 0.500 0.500 1
Nb1 0.283 0.283 0.283 1
Nb2 0.783 0.783 0.783 1
O1 0.064 0.417 0.675 1
O2 0.175 0.917 0.564 1
O3 0.417 0.675 0.064 1
O4 0.564 0.175 0.917 1
O5 0.675 0.064 0.417 1
O6 0.917 0.564 0.175 1

***

# 6
# LiNb7O12 | Alexandria | meta-GGA SCAN | single point on PBEsol structure
# formation energy from raw total energies: -2472 meV per atom
# crystal system: monoclinic
# E_tot: -17.9261 eV/atom
data_LiNb7O12
_chemical_formula_sum 'Li4 Nb28 O48'
_symmetry_space_group_name_H-M 'P 1'
_symmetry_Int_Tables_number 1
_cell_length_a 10.735
_cell_length_b 9.466
_cell_length_c 10.298
_cell_angle_alpha 90.00
_cell_angle_beta 104.69
_cell_angle_gamma 90.00
loop_
_symmetry_equiv_pos_as_xyz
'x,y,z'
loop_
_atom_site_label
_atom_site_fract_x
_atom_site_fract_y
_atom_site_fract_z
_atom_site_occupancy
Li1 0.086 0.066 0.470 1
Li2 0.086 0.434 0.970 1
Li3 0.914 0.566 0.030 1
Li4 0.914 0.934 0.530 1
Nb1 0.078 0.121 0.811 1
Nb2 0.078 0.379 0.311 1
Nb3 0.087 0.631 0.463 1
Nb4 0.087 0.869 0.963 1
Nb5 0.215 0.622 0.255 1
Nb6 0.215 0.878 0.755 1
Nb7 0.221 0.119 0.093 1
Nb8 0.221 0.381 0.593 1
Nb9 0.349 0.132 0.882 1
Nb10 0.349 0.368 0.382 1
Nb11 0.358 0.633 0.539 1
Nb12 0.358 0.867 0.039 1
Nb13 0.500 0.109 0.659 1
Nb14 0.500 0.391 0.159 1
Nb15 0.500 0.609 0.841 1
Nb16 0.500 0.891 0.341 1
Nb17 0.642 0.133 0.961 1
Nb18 0.642 0.367 0.461 1
Nb19 0.651 0.632 0.618 1
Nb20 0.651 0.868 0.118 1
Nb21 0.779 0.619 0.407 1
Nb22 0.779 0.881 0.907 1
Nb23 0.785 0.122 0.245 1
Nb24 0.785 0.378 0.745 1
Nb25 0.913 0.131 0.037 1
Nb26 0.913 0.369 0.537 1
Nb27 0.922 0.621 0.689 1
Nb28 0.922 0.879 0.189 1
O1 0.070 0.503 0.635 1
O2 0.070 0.997 0.135 1
O3 0.071 0.240 0.983 1
O4 0.071 0.260 0.483 1
O5 0.075 0.001 0.643 1
O6 0.075 0.499 0.143 1
O7 0.076 0.750 0.298 1
O8 0.076 0.750 0.798 1
O9 0.212 0.247 0.266 1
O10 0.212 0.253 0.766 1
O11 0.222 0.748 0.087 1
O12 0.222 0.752 0.587 1
O13 0.359 0.007 0.711 1
O14 0.359 0.250 0.053 1
O15 0.359 0.250 0.553 1
O16 0.359 0.493 0.211 1
O17 0.363 0.505 0.714 1
O18 0.363 0.995 0.214 1
O19 0.366 0.748 0.373 1
O20 0.366 0.752 0.873 1
O21 0.496 0.239 0.822 1
O22 0.496 0.261 0.322 1
O23 0.500 0.000 0.000 1
O24 0.500 0.000 0.500 1
O25 0.500 0.500 0.000 1
O26 0.500 0.500 0.500 1
O27 0.504 0.739 0.678 1
O28 0.504 0.761 0.178 1
O29 0.634 0.248 0.127 1
O30 0.634 0.252 0.627 1
O31 0.637 0.005 0.786 1
O32 0.637 0.495 0.286 1
O33 0.641 0.507 0.789 1
O34 0.641 0.750 0.447 1
O35 0.641 0.750 0.947 1
O36 0.641 0.993 0.289 1
O37 0.778 0.248 0.413 1
O38 0.778 0.252 0.913 1
O39 0.788 0.747 0.234 1
O40 0.788 0.753 0.734 1
O41 0.924 0.250 0.202 1
O42 0.924 0.250 0.702 1
O43 0.925 0.501 0.857 1
O44 0.925 0.999 0.357 1
O45 0.929 0.740 0.517 1
O46 0.929 0.760 0.017 1
O47 0.930 0.003 0.865 1
O48 0.930 0.497 0.365 1

***

# 7
# Li2NbO3 | Alexandria | meta-GGA SCAN | single point on PBEsol structure
# formation energy from raw total energies: -2456 meV per atom
# crystal system: monoclinic
# E_tot: -11.8895 eV/atom
data_Li2NbO3
_chemical_formula_sum 'Li4 Nb2 O6'
_symmetry_space_group_name_H-M 'P 1'
_symmetry_Int_Tables_number 1
_cell_length_a 5.103
_cell_length_b 5.103
_cell_length_c 5.099
_cell_angle_alpha 100.70
_cell_angle_beta 100.70
_cell_angle_gamma 117.88
loop_
_symmetry_equiv_pos_as_xyz
'x,y,z'
loop_
_atom_site_label
_atom_site_fract_x
_atom_site_fract_y
_atom_site_fract_z
_atom_site_occupancy
Li1 0.080 0.920 0.750 1
Li2 0.238 0.762 0.250 1
Li3 0.762 0.238 0.750 1
Li4 0.920 0.080 0.250 1
Nb1 0.415 0.585 0.750 1
Nb2 0.585 0.415 0.250 1
O1 0.000 0.500 0.500 1
O2 0.174 0.337 0.001 1
O3 0.337 0.174 0.501 1
O4 0.500 0.000 0.000 1
O5 0.663 0.826 0.499 1
O6 0.826 0.663 0.999 1

***

# 8
# LiNb3O8 | Alexandria | meta-GGA SCAN | single point on PBEsol structure
# formation energy from raw total energies: -2730 meV per atom
# crystal system: monoclinic
# E_tot: -15.3653 eV/atom
data_LiNb3O8
_chemical_formula_sum 'Li4 Nb12 O32'
_symmetry_space_group_name_H-M 'P 1'
_symmetry_Int_Tables_number 1
_cell_length_a 7.521
_cell_length_b 5.042
_cell_length_c 15.375
_cell_angle_alpha 90.00
_cell_angle_beta 107.45
_cell_angle_gamma 90.00
loop_
_symmetry_equiv_pos_as_xyz
'x,y,z'
loop_
_atom_site_label
_atom_site_fract_x
_atom_site_fract_y
_atom_site_fract_z
_atom_site_occupancy
Li1 0.244 0.243 0.081 1
Li2 0.244 0.257 0.581 1
Li3 0.756 0.743 0.419 1
Li4 0.756 0.757 0.919 1
Nb1 0.019 0.742 0.164 1
Nb2 0.019 0.758 0.664 1
Nb3 0.251 0.747 0.425 1
Nb4 0.251 0.753 0.925 1
Nb5 0.491 0.236 0.331 1
Nb6 0.491 0.264 0.831 1
Nb7 0.509 0.736 0.169 1
Nb8 0.509 0.764 0.669 1
Nb9 0.749 0.247 0.075 1
Nb10 0.749 0.253 0.575 1
Nb11 0.981 0.242 0.336 1
Nb12 0.981 0.258 0.836 1
O1 0.003 0.067 0.099 1
O2 0.003 0.433 0.599 1
O3 0.086 0.584 0.785 1
O4 0.086 0.916 0.285 1
O5 0.149 0.071 0.452 1
O6 0.149 0.429 0.952 1
O7 0.238 0.596 0.155 1
O8 0.238 0.904 0.655 1
O9 0.276 0.080 0.845 1
O10 0.276 0.420 0.345 1
O11 0.353 0.602 0.540 1
O12 0.353 0.898 0.040 1
O13 0.413 0.069 0.216 1
O14 0.413 0.431 0.716 1
O15 0.462 0.578 0.900 1
O16 0.462 0.922 0.400 1
O17 0.538 0.078 0.600 1
O18 0.538 0.422 0.100 1
O19 0.587 0.569 0.284 1
O20 0.587 0.931 0.784 1
O21 0.647 0.102 0.960 1
O22 0.647 0.398 0.460 1
O23 0.724 0.580 0.655 1
O24 0.724 0.920 0.155 1
O25 0.762 0.096 0.345 1
O26 0.762 0.404 0.845 1
O27 0.851 0.571 0.048 1
O28 0.851 0.929 0.548 1
O29 0.914 0.084 0.715 1
O30 0.914 0.416 0.215 1
O31 0.997 0.567 0.401 1
O32 0.997 0.933 0.901 1